Computed, not measured: crystalline ThTlTc at its relaxed geometry at the PBE level of DFT.

Properties
The value obtained for the electronic total energy is -17.18 eV/f.u. The energy relative to the lowest polymorph listed for this composition comes out at 60.4 kJ/mol of formula units.

a = 6.996 Å, b = 6.996 Å, c = 6.996 Å
α = 90.00°, β = 90.00°, γ = 90.00°
Space group F-43m (No. 216)
One atom of each set of equivalent atoms:
Th1 0.000 0.000 0.000 [4 per cell]
Tl1 0.250 0.250 0.250 [4 per cell]
Tc1 0.250 0.250 0.750 [4 per cell]